Zn2RuW | GGA-PBE | relaxed

E_tot, eV/atom: -5.48
E above lowest polymorph, eV per atom: 0.695
DFT formation energy, meV/atom: 716

abc: 6.9737 6.9737 5.1495
angles: 90.00 90.00 90.00
Last column: nearest neighbours and their distance in Å.
Sites, in units of the cell vectors:
Zn (0.2407, 0.2500, 0.1250)  2 Ru 2.50, 2 Zn 2.58, 2 W 2.59
Zn (0.2500, 0.7407, 0.3750)  2 Ru 2.50, 2 Zn 2.58, 2 W 2.59
Zn (0.2500, 0.7593, 0.8750)  2 Ru 2.50, 2 Zn 2.58, 2 W 2.59
Zn (0.2593, 0.2500, 0.6250)  2 Ru 2.50, 2 Zn 2.58, 2 W 2.59
Zn (0.7407, 0.7500, 0.6250)  2 Ru 2.50, 2 Zn 2.58, 2 W 2.59
Zn (0.7500, 0.2407, 0.8750)  2 Ru 2.50, 2 Zn 2.58, 2 W 2.59
Zn (0.7500, 0.2593, 0.3750)  2 Ru 2.50, 2 Zn 2.58, 2 W 2.59
Zn (0.7593, 0.7500, 0.1250)  2 Ru 2.50, 2 Zn 2.58, 2 W 2.59
Ru (0.0000, 0.0000, 0.0000)  4 Zn 2.50, 2 W 2.57
Ru (0.0000, 0.5000, 0.2500)  4 Zn 2.50, 2 W 2.57
Ru (0.5000, 0.0000, 0.7500)  4 Zn 2.50, 2 W 2.57
Ru (0.5000, 0.5000, 0.5000)  4 Zn 2.50, 2 W 2.57
W (0.0000, 0.0000, 0.5000)  2 Ru 2.57, 4 Zn 2.59
W (0.0000, 0.5000, 0.7500)  2 Ru 2.57, 4 Zn 2.59
W (0.5000, 0.0000, 0.2500)  2 Ru 2.57, 4 Zn 2.59
W (0.5000, 0.5000, 0.0000)  2 Ru 2.57, 4 Zn 2.59

***

ReF | GGA-PBE | relaxed

E_tot, eV/atom: -5.80
Uncorrected formation energy, eV/atom: 1.361
E above lowest polymorph, eV per atom: 2.370

abc: 4.8499 4.8499 4.8499
angles: 90.00 90.00 90.00
Last column: nearest neighbours and their distance in Å.
Sites, in units of the cell vectors:
Re (0.0000, 0.0000, 0.0000)  4 F 2.10
Re (0.0000, 0.5000, 0.5000)  4 F 2.10
Re (0.5000, 0.0000, 0.5000)  4 F 2.10
Re (0.5000, 0.5000, 0.0000)  4 F 2.10
F (0.2500, 0.2500, 0.2500)  4 Re 2.10
F (0.2500, 0.7500, 0.7500)  4 Re 2.10
F (0.7500, 0.2500, 0.7500)  4 Re 2.10
F (0.7500, 0.7500, 0.2500)  4 Re 2.10